Here is an optimized crystal structure of CoAgCl2F from Alexandria via LeMat-Bulk. Energies are from PBE+U.

Geometry as CIF:
```
data_CoAgCl2F
_chemical_formula_sum 'Co1 Ag1 Cl2 F1'
_cell_length_a 4.970
_cell_length_b 4.970
_cell_length_c 3.803
_cell_angle_alpha 90.00
_cell_angle_beta 90.00
_cell_angle_gamma 90.00
_space_group_name_H-M_alt 'P 1'
_space_group_IT_number 1
loop_
_space_group_symop_operation_xyz
'x,y,z'
loop_
_atom_site_label
_atom_site_type_symbol
_atom_site_fract_x
_atom_site_fract_y
_atom_site_fract_z
_atom_site_occupancy
Co1 Co 0.000 0.000 0.000 1
Ag1 Ag 0.500 0.500 0.500 1
Cl1 Cl 0.000 0.500 0.000 1
Cl2 Cl 0.500 0.000 0.000 1
F1 F 0.000 0.000 0.500 1
```

Raw total energy (eV/atom): -3.49
Crystal system: tetragonal

=====

Here is an optimized crystal structure of CoAg2Cl2F2 from Alexandria via LeMat-Bulk. Energies are from PBE+U.

Geometry as CIF:
```
data_CoAg2Cl2F2
_chemical_formula_sum 'Co1 Ag2 Cl2 F2'
_cell_length_a 6.146
_cell_length_b 6.146
_cell_length_c 6.772
_cell_angle_alpha 120.82
_cell_angle_beta 120.82
_cell_angle_gamma 34.52
_space_group_name_H-M_alt 'P 1'
_space_group_IT_number 1
loop_
_space_group_symop_operation_xyz
'x,y,z'
loop_
_atom_site_label
_atom_site_type_symbol
_atom_site_fract_x
_atom_site_fract_y
_atom_site_fract_z
_atom_site_occupancy
Co1 Co 0.000 0.000 0.000 1
Ag1 Ag 0.154 0.154 0.624 1
Ag2 Ag 0.846 0.846 0.376 1
Cl1 Cl 0.432 0.432 0.176 1
Cl2 Cl 0.568 0.568 0.824 1
F1 F 0.180 0.180 0.286 1
F2 F 0.820 0.820 0.714 1
```

Raw total energy (eV/atom): -3.61
Crystal system: monoclinic